BeHRu2 | Alexandria | PBE-GGA | optimized geometry; polymorph energy (0 for the lowest one) = 0.319 eV per atom; uncorrected energy = -24.1 eV/cell
1.0
-0.563 -3.793 -0.029
-2.685 -1.557 2.252
-3.194 -1.453 -1.548
H Ru Be
1 2 1
direct
0.000 0.000 0.000 H
0.250 0.250 0.250 Ru
0.750 0.750 0.750 Ru
0.500 0.500 0.500 Be